This record from the Alexandria database describes crystalline Rb2FeF5 at its relaxed geometry. The functional is GGA+U.

Calculated values
The value obtained for the spin magnetization is 20.00 μB per cell. Its symmetry is No. 62. The calculated volume is 139.23 Å³/f.u. The density of states at the Fermi level comes out at 0.00 states/eV per cell. The calculation puts the total energy at -4.826 eV per atom.

The structure in POSCAR format:
```
Rb2FeF5
1.0
7.718 0.000 0.000
0.000 5.908 0.000
0.000 0.000 12.215
Rb Fe F
8 4 20
direct
0.013 0.250 0.225
0.154 0.750 0.415
0.346 0.250 0.915
0.487 0.750 0.725
0.513 0.250 0.275
0.654 0.750 0.085
0.846 0.250 0.585
0.987 0.750 0.775
0.163 0.750 0.062
0.337 0.250 0.562
0.663 0.750 0.438
0.837 0.250 0.938
0.000 0.000 0.000
0.000 0.500 0.000
0.019 0.750 0.190
0.189 0.012 0.615
0.189 0.488 0.615
0.224 0.250 0.418
0.276 0.750 0.918
0.311 0.512 0.115
0.311 0.988 0.115
0.481 0.250 0.690
0.500 0.000 0.500
0.500 0.500 0.500
0.519 0.750 0.310
0.689 0.012 0.885
0.689 0.488 0.885
0.724 0.250 0.082
0.776 0.750 0.582
0.811 0.512 0.385
0.811 0.988 0.385
0.981 0.250 0.810
```